[1]
A plane-wave DFT calculation with GGA-PBE was carried out for a relaxed LiVI3 crystal.

Calculated total energy   -0.1096 Ha/atom
Density of states at the Fermi level   7.5 states/eV/f.u.
Energy relative to the elements, uncorrected   0.77 eV/f.u.

a = 5.436 Å, b = 5.436 Å, c = 5.436 Å
α = 90.00°, β = 90.00°, γ = 90.00°
Atoms (fractional coordinates):
Li 0.000 0.000 0.000
V 0.500 0.500 0.500
I 0.000 0.000 0.500
I 0.000 0.500 0.000
I 0.500 0.000 0.000

***

[2]
A plane-wave DFT calculation with GGA-PBE was carried out for a relaxed NaSeBr2N crystal.

Calculated total energy   -0.0814 Ha/atom
Density of states at the Fermi level   4.4 states/eV/f.u.
Distance to the lowest polymorph of the same formula   757.6 meV per atom
Energy relative to the elements, uncorrected   5.40 eV/f.u.

a = 5.634 Å, b = 5.634 Å, c = 5.854 Å
α = 90.00°, β = 90.00°, γ = 90.00°
Atoms (fractional coordinates):
Na 0.000 0.000 0.000
Se 0.000 0.000 0.500
Br 0.000 0.500 0.000
Br 0.500 0.000 0.000
N 0.500 0.500 0.500

***

[3]
A plane-wave DFT calculation with GGA-PBE was carried out for a relaxed HfTa2N crystal.

Calculated total energy   -0.4163 Ha/atom
Density of states at the Fermi level   2.9 states/eV/f.u.
Energy relative to the elements, uncorrected   -3.33 eV/f.u.

a = 3.291 Å, b = 3.291 Å, c = 11.299 Å
α = 90.00°, β = 90.00°, γ = 90.00°
Atoms (fractional coordinates):
Hf 0.250 0.250 0.098
Hf 0.750 0.750 0.902
Ta 0.250 0.250 0.426
Ta 0.250 0.250 0.715
Ta 0.750 0.750 0.285
Ta 0.750 0.750 0.574
N 0.250 0.250 0.904
N 0.750 0.750 0.096

***

[4]
A plane-wave DFT calculation with GGA-PBE was carried out for a relaxed RbNaOs2Pd crystal.

Calculated total energy   -0.1536 Ha/atom
Density of states at the Fermi level   7.0 states/eV/f.u.
DFT formation energy   1.807 eV/atom

a = 4.844 Å, b = 4.844 Å, c = 5.937 Å
α = 90.00°, β = 90.00°, γ = 90.00°
Atoms (fractional coordinates):
Rb 0.000 0.000 0.000
Na 0.500 0.500 0.000
Os 0.000 0.500 0.500
Os 0.500 0.000 0.500
Pd 0.000 0.000 0.500